Density functional theory data (PBE with a Hubbard U) for a relaxed NbWI2O crystal.

## Properties
- density of states at the Fermi level (states/eV/atom) = 0.8944
- total magnetic moment (μB per formula unit) = 6.80
- calculated volume (A^3/atom) = 29.73
- polymorph energy (0 for the lowest one) (meV per atom) = 409.0

CIF file:
```
data_NbWI2O
_space_group_name_H-M_alt 'P 4/m m m'
_space_group_IT_number 123
_space_group_name_Hall '-P 4 2'
_cell_length_a 6.225
_cell_length_b 6.225
_cell_length_c 3.835
_cell_angle_alpha 90.00
_cell_angle_beta 90.00
_cell_angle_gamma 90.00
loop_
_atom_site_label
_atom_site_type_symbol
_atom_site_fract_x
_atom_site_fract_y
_atom_site_fract_z
Nb1 Nb 0.000 0.000 0.000
W1 W 0.500 0.500 0.000
I1 I 0.000 0.500 0.500
O1 O 0.000 0.000 0.500
```